ZnNiGe: optimized geometry, PBE-GGA.

Cell lengths 4.007, 4.007, 4.007 Å; angles 60.00, 60.00, 60.00 degrees
Element x y z (fractional)
Zn 0.000 0.000 0.000
Ni 0.750 0.750 0.750
Ge 0.500 0.500 0.500

## Properties
total magnetic moment = 0.003 Bohr magnetons per cell
raw total energy = -3.998 eV/atom